Density functional theory data (PBE-GGA) for SrCd2Sn after structural relaxation.

a b c (Å): 11.278 11.278 11.278
angles (deg): 154.92 154.92 35.76
Fractional coordinates of all 8 atoms:
Sr1 0.000 0.000 0.000
Sr2 0.750 0.250 0.500
Cd1 0.201 0.625 0.076
Cd2 0.375 0.451 0.576
Cd3 0.549 0.125 0.924
Cd4 0.875 0.799 0.424
Sn1 0.250 0.750 0.500
Sn2 0.500 0.500 0.000

Calculated values
Volume ... 257.4 Å³/cell
Formation energy ... -13.3 kJ per mole of atoms
Magnetization ... 0.00 μB per cell
Crystal system ... tetragonal